No. 1
# Tm2HCCl, relaxed, DFT PBE
# - symmetry = P3m1, No. 156
# - theoretical density (Mg/m³) = 7.67
# - E_tot (eV/atom) = -5.7037
data_Tm2HCCl
_symmetry_space_group_name_H-M 'P 1'
_symmetry_Int_Tables_number 1
_cell_length_a 3.606
_cell_length_b 3.606
_cell_length_c 7.427
_cell_angle_alpha 90.00
_cell_angle_beta 90.00
_cell_angle_gamma 120.00
loop_
_symmetry_equiv_pos_as_xyz
'x,y,z'
loop_
_atom_site_label
_atom_site_type_symbol
_atom_site_fract_x
_atom_site_fract_y
_atom_site_fract_z
Tm1 Tm 0.000 0.000 0.000
Tm2 Tm 0.333 0.667 0.354
H1 H 0.000 0.000 0.449
C1 C 0.667 0.333 0.163
Cl1 Cl 0.333 0.667 0.745

***

No. 2
# Hf2CICl, relaxed, DFT PBE
# - symmetry = P3m1, No. 156
# - theoretical density (Mg/m³) = 8.23
# - E_tot (eV/atom) = -7.6323
data_Hf2CICl
_symmetry_space_group_name_H-M 'P 1'
_symmetry_Int_Tables_number 1
_cell_length_a 3.504
_cell_length_b 3.504
_cell_length_c 10.081
_cell_angle_alpha 90.00
_cell_angle_beta 90.00
_cell_angle_gamma 120.00
loop_
_symmetry_equiv_pos_as_xyz
'x,y,z'
loop_
_atom_site_label
_atom_site_type_symbol
_atom_site_fract_x
_atom_site_fract_y
_atom_site_fract_z
Hf1 Hf 0.000 0.000 0.000
Hf2 Hf 0.333 0.667 0.226
C1 C 0.667 0.333 0.111
I1 I 0.000 0.000 0.439
Cl1 Cl 0.333 0.667 0.825

***

No. 3
# HfMoCCl2, relaxed, DFT PBE
# - symmetry = P3m1, No. 156
# - theoretical density (Mg/m³) = 6.79
# - E_tot (eV/atom) = -7.6931
data_HfMoCCl2
_symmetry_space_group_name_H-M 'P 1'
_symmetry_Int_Tables_number 1
_cell_length_a 3.335
_cell_length_b 3.335
_cell_length_c 9.073
_cell_angle_alpha 90.00
_cell_angle_beta 90.00
_cell_angle_gamma 120.00
loop_
_symmetry_equiv_pos_as_xyz
'x,y,z'
loop_
_atom_site_label
_atom_site_type_symbol
_atom_site_fract_x
_atom_site_fract_y
_atom_site_fract_z
Hf1 Hf 0.000 0.000 0.000
Mo1 Mo 0.667 0.333 0.240
C1 C 0.333 0.667 0.127
Cl1 Cl 0.000 0.000 0.438
Cl2 Cl 0.667 0.333 0.803

***

No. 4
# PuHfCCl2, relaxed, DFT PBE
# - symmetry = P3m1, No. 156
# - theoretical density (Mg/m³) = 8.16
# - E_tot (eV/atom) = -8.7125
data_PuHfCCl2
_symmetry_space_group_name_H-M 'P 1'
_symmetry_Int_Tables_number 1
_cell_length_a 3.483
_cell_length_b 3.483
_cell_length_c 9.794
_cell_angle_alpha 90.00
_cell_angle_beta 90.00
_cell_angle_gamma 120.00
loop_
_symmetry_equiv_pos_as_xyz
'x,y,z'
loop_
_atom_site_label
_atom_site_type_symbol
_atom_site_fract_x
_atom_site_fract_y
_atom_site_fract_z
Pu1 Pu 0.000 0.000 0.000
Hf1 Hf 0.333 0.667 0.733
C1 C 0.667 0.333 0.844
Cl1 Cl 0.000 0.000 0.555
Cl2 Cl 0.333 0.667 0.198

***

Q: Which formula does entry 1 have?
A: Tm2HCCl